AcTh2Pd | GGA-PBE | optimized geometry

Computed properties:
Energy above the lowest structure with this stoichiometry, meV/atom: 0.0
E_tot, eV per cell: -25.13
Crystal system: tetragonal
M_tot, μB per formula unit: 0.000
Energy relative to the elements, eV/atom: -0.246

```
data_AcTh2Pd
_chemical_formula_sum 'Ac1 Th2 Pd1'
_space_group_name_H-M_alt 'P 4/m m m'
_space_group_IT_number 123
_space_group_name_Hall '-P 4 2'
_cell_length_a 3.743
_cell_length_b 3.743
_cell_length_c 8.657
_cell_angle_alpha 90.00
_cell_angle_beta 90.00
_cell_angle_gamma 90.00
loop_
_atom_site_label
_atom_site_type_symbol
_atom_site_fract_x
_atom_site_fract_y
_atom_site_fract_z
Ac1 Ac 0.000 0.000 0.000
Th1 Th 0.500 0.500 0.304
Pd1 Pd 0.000 0.000 0.500
```